#i
# PBE Ca2AlF, optimized geometry
# * total moment: 1.08 μB/f.u.
# * N(E_F): 0.67 states/eV per atom
data_Ca2AlF
_chemical_formula_sum 'Ca6 Al3 F3'
_cell_length_a 3.5217
_cell_length_b 3.5217
_cell_length_c 28.3983
_cell_angle_alpha 90.00
_cell_angle_beta 90.00
_cell_angle_gamma 120.00
_space_group_name_H-M_alt 'R -3 m'
_space_group_IT_number 166
_space_group_name_Hall '-R 3 2"'
loop_
_atom_site_label
_atom_site_type_symbol
_atom_site_fract_x
_atom_site_fract_y
_atom_site_fract_z
Ca1 Ca 0.0000 0.0000 0.1086
Al1 Al 0.0000 0.0000 0.0000
F1 F 0.0000 0.0000 0.5000


#ii
# PBE Ca2AlF, optimized geometry
# * total moment: 0.00 μB/f.u.
# * N(E_F): 0.43 states/eV per atom
data_Ca2AlF
_chemical_formula_sum 'Ca2 Al1 F1'
_cell_length_a 3.321
_cell_length_b 3.321
_cell_length_c 7.862
_cell_angle_alpha 90.00
_cell_angle_beta 90.00
_cell_angle_gamma 90.00
_space_group_name_H-M_alt 'P 4/m m m'
_space_group_IT_number 123
_space_group_name_Hall '-P 4 2'
loop_
_atom_site_label
_atom_site_type_symbol
_atom_site_fract_x
_atom_site_fract_y
_atom_site_fract_z
Ca1 Ca 0.000 0.000 0.233
Al1 Al 0.500 0.500 0.500
F1 F 0.500 0.500 0.000


Which structure above is the least stable? It is #i.